A:
Tm3AsS2 | PBE-GGA | optimized geometry

abc: 3.923 5.542 11.725
angles: 90.00 90.00 90.00
Space group Immm (No. 71)
Inequivalent atoms, fractional coordinates:
Tm1 0.000 0.000 0.000 (multiplicity 2)
Tm2 0.000 0.000 0.331 (multiplicity 4)
As1 0.000 0.500 0.000 (multiplicity 2)
S1 0.000 0.500 0.334 (multiplicity 4)


B:
Tm3AsS2 | PBE-GGA | optimized geometry

abc: 3.9275 3.9275 9.5276
angles: 90.00 90.00 120.00
Space group P-3m1 (No. 164)
Inequivalent atoms, fractional coordinates:
Tm1 0.0000 0.0000 0.0000 (multiplicity 1)
Tm2 0.3333 0.6667 0.3274 (multiplicity 2)
As1 0.0000 0.0000 0.5000 (multiplicity 1)
S1 0.3333 0.6667 0.8390 (multiplicity 2)


A is favored, and the nearest alternative lies 0.9 kJ/mol of atoms above it.


A:
TmSbAs | PBE-GGA | optimized geometry

abc: 6.997 6.997 6.997
angles: 90.00 90.00 90.00
Space group F-43m (No. 216)
Inequivalent atoms, fractional coordinates:
Tm1 0.000 0.000 0.000 (multiplicity 4)
Sb1 0.250 0.250 0.250 (multiplicity 4)
As1 0.250 0.250 0.750 (multiplicity 4)


B:
TmSbAs | PBE-GGA | optimized geometry

abc: 6.869 6.869 6.869
angles: 90.00 90.00 90.00
Space group F-43m (No. 216)
Inequivalent atoms, fractional coordinates:
Tm1 0.000 0.000 0.000 (multiplicity 4)
Sb1 0.000 0.000 0.500 (multiplicity 4)
As1 0.250 0.250 0.750 (multiplicity 4)


A is favored, and the nearest alternative lies 1.9 kJ/mol of atoms above it.


A:
Sm3AsSe2 | PBE-GGA | optimized geometry

abc: 4.173 5.904 12.617
angles: 90.00 90.00 90.00
Space group Immm (No. 71)
Inequivalent atoms, fractional coordinates:
Sm1 0.000 0.000 0.000 (multiplicity 2)
Sm2 0.000 0.000 0.340 (multiplicity 4)
As1 0.000 0.500 0.000 (multiplicity 2)
Se1 0.000 0.500 0.332 (multiplicity 4)


B:
Sm3AsSe2 | PBE-GGA | optimized geometry

abc: 4.1898 4.1898 10.2403
angles: 90.00 90.00 120.00
Space group P-3m1 (No. 164)
Inequivalent atoms, fractional coordinates:
Sm1 0.0000 0.0000 0.0000 (multiplicity 1)
Sm2 0.3333 0.6667 0.6603 (multiplicity 2)
As1 0.0000 0.0000 0.5000 (multiplicity 1)
Se1 0.3333 0.6667 0.1657 (multiplicity 2)


A is favored, and the nearest alternative lies 1.1 kJ/mol of atoms above it.


A:
TaSiAs | PBE-GGA | optimized geometry

abc: 6.750 3.368 8.313
angles: 90.00 90.00 90.00
Space group Pnma (No. 62)
Inequivalent atoms, fractional coordinates:
Ta1 0.125 0.250 0.249 (multiplicity 4)
Si1 0.114 0.250 0.582 (multiplicity 4)
As1 0.136 0.250 0.910 (multiplicity 4)


B:
TaSiAs | PBE-GGA | optimized geometry

abc: 3.512 3.512 7.930
angles: 90.00 90.00 90.00
Space group P4/nmm (No. 129, origin choice 2)
Inequivalent atoms, fractional coordinates:
Ta1 0.250 0.250 0.246 (multiplicity 2)
Si1 0.250 0.750 0.500 (multiplicity 2)
As1 0.250 0.250 0.889 (multiplicity 2)


B is favored, and the nearest alternative lies 17.6 kJ/mol of atoms above it.


A:
TcSnAs | PBE-GGA | optimized geometry

abc: 6.258 6.258 6.258
angles: 90.00 90.00 90.00
Space group F-43m (No. 216)
Inequivalent atoms, fractional coordinates:
Tc1 0.000 0.000 0.000 (multiplicity 4)
Sn1 0.250 0.250 0.750 (multiplicity 4)
As1 0.250 0.250 0.250 (multiplicity 4)


B:
TcSnAs | PBE-GGA | optimized geometry

abc: 9.766 3.306 8.040
angles: 90.00 120.62 90.00
Space group Cm (No. 8)
Inequivalent atoms, fractional coordinates:
Tc1 0.000 0.000 0.000 (multiplicity 2)
Tc2 0.200 0.500 0.602 (multiplicity 2)
Sn1 0.224 0.500 0.276 (multiplicity 2)
Sn2 0.248 0.000 0.921 (multiplicity 2)
As1 0.018 0.000 0.349 (multiplicity 2)
As2 0.443 0.000 0.711 (multiplicity 2)


B is favored, and the nearest alternative lies 38.6 kJ/mol of atoms above it.


A:
SrAsW | PBE-GGA | optimized geometry

abc: 6.575 6.575 6.575
angles: 90.00 90.00 90.00
Space group F-43m (No. 216)
Inequivalent atoms, fractional coordinates:
Sr1 0.000 0.000 0.000 (multiplicity 4)
As1 0.250 0.250 0.250 (multiplicity 4)
W1 0.000 0.000 0.500 (multiplicity 4)


B:
SrAsW | PBE-GGA | optimized geometry

abc: 7.137 7.137 7.137
angles: 90.00 90.00 90.00
Space group F-43m (No. 216)
Inequivalent atoms, fractional coordinates:
Sr1 0.000 0.000 0.000 (multiplicity 4)
As1 0.250 0.250 0.750 (multiplicity 4)
W1 0.250 0.250 0.250 (multiplicity 4)


A is favored, and the nearest alternative lies 82.3 kJ/mol of atoms above it.